(1)
First-principles (PBE-GGA) data for a geometry-optimized TaInAu2 structure, as listed in the Alexandria database.

The structure in POSCAR format:
```
TaInAu2
1.0
-1.4823 2.5710 5.1775
1.4823 -2.5710 5.1775
1.4823 2.5710 -5.1775
Ta In Au
1 1 2
Cartesian
0.0000 0.0000 0.0000 Ta
0.0000 0.0000 5.1775 In
1.4823 0.0000 2.3950 Au
0.0000 2.5710 2.7825 Au
```

Properties
Total magnetic moment ... 0.00 μB per formula unit
VASP energy ... -0.37659 Ry per atom
Calculated formation energy ... 0.1627 eV/atom

(2)
First-principles (PBE-GGA) data for a geometry-optimized GdGePbAu structure, as listed in the Alexandria database.

The structure in POSCAR format:
```
GdGePbAu
1.0
0.0000 3.6449 3.6449
3.6449 0.0000 3.6449
3.6449 3.6449 0.0000
Gd Ge Pb Au
1 1 1 1
Cartesian
0.0000 0.0000 0.0000 Gd
1.8225 1.8225 1.8225 Ge
3.6449 3.6449 3.6449 Pb
5.4674 5.4674 5.4674 Au
```

Properties
Total magnetic moment ... 7.16 μB per formula unit
VASP energy ... -0.49888 Ry per atom
Calculated formation energy ... -0.3666 eV/atom

(3)
First-principles (PBE-GGA) data for a geometry-optimized La2DySi3Rh4 structure, as listed in the Alexandria database.

The structure in POSCAR format:
```
La2DySi3Rh4
1.0
4.1913 0.0000 0.0000
0.0000 4.1913 0.0000
0.0000 0.0000 10.9387
La Dy Si Rh
2 1 3 4
Cartesian
0.0000 2.0957 2.5657 La
2.0957 0.0000 8.3730 La
0.0000 0.0000 5.4693 Dy
0.0000 2.0957 9.6760 Si
2.0957 0.0000 1.2627 Si
2.0957 2.0957 5.4693 Si
0.0000 0.0000 0.0000 Rh
0.0000 2.0957 7.2323 Rh
2.0957 0.0000 3.7063 Rh
2.0957 2.0957 0.0000 Rh
```

Properties
Total magnetic moment ... 0.00 μB per formula unit
E_form (uncorrected) ... -0.986 eV/atom
VASP energy ... -0.51440 Ry per atom

(4)
First-principles (PBE-GGA) data for a geometry-optimized Ag5C structure, as listed in the Alexandria database.

The structure in POSCAR format:
```
Ag5C
1.0
0.0000 3.8355 3.8355
3.8355 0.0000 3.8355
3.8355 3.8355 0.0000
Ag C
5 1
Cartesian
0.0000 0.0000 0.0000 Ag
2.8769 2.8769 2.8769 Ag
4.7942 4.7942 2.8769 Ag
4.7942 2.8769 4.7942 Ag
2.8769 4.7942 4.7942 Ag
5.7533 5.7533 5.7533 C
```

Properties
Total magnetic moment ... 0.79 μB per formula unit
Relative energy among the computed polymorphs ... 0.503 eV/atom
VASP energy ... -0.19680 Ry per atom
Calculated formation energy ... 1.2357 eV/atom

(5)
First-principles (PBE-GGA) data for a geometry-optimized TbPr6Nd4 structure, as listed in the Alexandria database.

The structure in POSCAR format:
```
TbPr6Nd4
1.0
-3.3780 3.3780 8.7945
3.3780 -3.3780 8.7945
3.3780 3.3780 -8.7945
Tb Pr Nd
1 6 4
Cartesian
0.0000 0.0000 0.0000 Tb
3.3780 0.0000 0.0000 Pr
1.2031 -1.2031 6.5350 Pr
2.1749 2.1749 2.2595 Pr
0.0000 3.3780 0.0000 Pr
-1.2031 1.2031 6.5350 Pr
1.2031 1.2031 11.0539 Pr
1.2764 1.2764 -3.1218 Nd
2.1016 -2.1016 11.9163 Nd
2.1016 2.1016 5.6726 Nd
-2.1016 2.1016 11.9163 Nd
```

Properties
Total magnetic moment ... 0.00 μB per formula unit
VASP energy ... -0.33006 Ry per atom
Calculated formation energy ... 0.2710 eV/atom

(6)
First-principles (PBE-GGA) data for a geometry-optimized ReIN structure, as listed in the Alexandria database.

The structure in POSCAR format:
```
ReIN
1.0
3.8266 -3.0198 0.0000
3.8266 3.0198 0.0000
-2.5517 0.0000 9.2849
Re I N
2 2 2
Cartesian
1.0657 0.0000 0.5706 Re
4.0358 0.0000 8.7143 Re
0.4501 0.0000 3.0972 I
4.6513 0.0000 6.1878 I
1.9133 1.5099 0.0000 N
1.9133 -1.5099 0.0000 N
```

Properties
Total magnetic moment ... 0.00 μB per formula unit
E_form (uncorrected) ... 0.152 eV/atom
Relative energy among the computed polymorphs ... 0.000 eV/atom
VASP energy ... -0.53577 Ry per atom

(7)
First-principles (PBE-GGA) data for a geometry-optimized FeCo3Pt3 structure, as listed in the Alexandria database.

The structure in POSCAR format:
```
FeCo3Pt3
1.0
7.3270 0.0000 0.0000
0.0000 7.3270 0.0000
0.0000 0.0000 7.3270
Fe Co Pt
4 12 12
Cartesian
0.7314 2.9321 4.3949 Fe
2.9321 4.3949 0.7314 Fe
4.3949 0.7314 2.9321 Fe
6.5956 6.5956 6.5956 Fe
0.6243 4.2879 6.7027 Co
0.7239 6.6032 2.9396 Co
1.6239 1.6239 1.6239 Co
2.0396 5.7032 5.2874 Co
2.9396 0.7239 6.6032 Co
3.0392 3.0392 3.0392 Co
4.2879 6.7027 0.6243 Co
4.3874 4.3874 4.3874 Co
5.2874 2.0396 5.7032 Co
5.7032 5.2874 2.0396 Co
6.6032 2.9396 0.7239 Co
6.7027 0.6243 4.2879 Co
0.5313 1.4999 6.4921 Pt
0.8349 4.1948 2.1636 Pt
1.4999 6.4921 0.5313 Pt
2.1636 0.8349 4.1948 Pt
2.8286 3.1322 5.8271 Pt
3.1322 5.8271 2.8286 Pt
4.1948 2.1636 0.8349 Pt
4.4984 6.7957 5.1635 Pt
5.1635 4.4984 6.7957 Pt
5.8271 2.8286 3.1322 Pt
6.4921 0.5313 1.4999 Pt
6.7957 5.1635 4.4984 Pt
```

Properties
Total magnetic moment ... 9.66 μB per formula unit
VASP energy ... -0.49850 Ry per atom
Calculated formation energy ... 0.0608 eV/atom

(8)
First-principles (PBE-GGA) data for a geometry-optimized Te3OsO structure, as listed in the Alexandria database.

The structure in POSCAR format:
```
Te3OsO
1.0
4.6593 0.0000 0.0000
0.0000 4.6593 0.0000
0.0000 0.0000 4.6593
Te Os O
3 1 1
Cartesian
0.0000 0.0000 2.3296 Te
0.0000 2.3296 0.0000 Te
2.3296 0.0000 0.0000 Te
2.3296 2.3296 2.3296 Os
0.0000 0.0000 0.0000 O
```

Properties
Total magnetic moment ... 0.00 μB per formula unit
E_form (uncorrected) ... 0.915 eV/atom
Relative energy among the computed polymorphs ... 0.000 eV/atom
VASP energy ... -0.30924 Ry per atom

(9)
First-principles (PBE-GGA) data for a geometry-optimized SrAsW2 structure, as listed in the Alexandria database.

The structure in POSCAR format:
```
SrAsW2
1.0
3.3211 0.0000 0.0000
0.0000 4.2062 0.0000
-1.5855 0.0000 6.3882
Sr As W
1 1 2
Cartesian
0.0000 0.0000 0.0000 Sr
0.0746 2.1031 4.8275 As
0.0761 0.0000 3.1932 W
1.7345 2.1031 2.8742 W
```

Properties
Total magnetic moment ... 0.00 μB per formula unit
VASP energy ... -0.57304 Ry per atom
Calculated formation energy ... 0.2628 eV/atom

(10)
First-principles (PBE-GGA) data for a geometry-optimized CsTe3P structure, as listed in the Alexandria database.

The structure in POSCAR format:
```
CsTe3P
1.0
7.2363 0.0000 0.0000
-0.0006 7.7208 0.0000
-0.0057 -0.0103 7.8576
Cs Te P
2 6 2
Cartesian
0.0000 0.0000 0.0000 Cs
3.6115 3.8547 2.2311 Cs
0.6459 3.8512 7.5664 Te
3.5897 1.3926 6.3699 Te
3.6012 6.3106 6.3708 Te
4.2692 7.7142 2.5164 Te
7.2065 2.4554 3.7114 Te
7.2177 5.2585 3.7132 Te
1.4927 3.8502 5.2744 P
5.1136 -0.0031 4.8096 P
```

Properties
Total magnetic moment ... 0.00 μB per formula unit
E_form (uncorrected) ... -0.214 eV/atom
VASP energy ... -0.24631 Ry per atom

(11)
First-principles (PBE-GGA) data for a geometry-optimized Y3Er12Tm structure, as listed in the Alexandria database.

The structure in POSCAR format:
```
Y3Er12Tm
1.0
4.9757 0.0000 0.0000
0.0000 4.9757 0.0000
0.0000 0.0000 19.8982
Y Er Tm
3 12 1
Cartesian
0.0000 0.0000 0.0000 Y
0.0000 0.0000 4.9887 Y
0.0000 0.0000 14.9095 Y
0.0000 2.4878 2.4969 Er
0.0000 2.4878 7.4877 Er
0.0000 2.4878 12.4105 Er
0.0000 2.4878 17.4013 Er
2.4878 0.0000 2.4969 Er
2.4878 0.0000 7.4877 Er
2.4878 0.0000 12.4105 Er
2.4878 0.0000 17.4013 Er
2.4878 2.4878 0.0000 Er
2.4878 2.4878 4.9934 Er
2.4878 2.4878 9.9491 Er
2.4878 2.4878 14.9049 Er
0.0000 0.0000 9.9491 Tm
```

Properties
Total magnetic moment ... 0.00 μB per formula unit
VASP energy ... -0.35933 Ry per atom
Calculated formation energy ... 0.0247 eV/atom

(12)
First-principles (PBE-GGA) data for a geometry-optimized Sm2LuPt structure, as listed in the Alexandria database.

The structure in POSCAR format:
```
Sm2LuPt
1.0
3.6466 0.0000 0.0000
0.0000 3.6466 0.0000
0.0000 0.0000 8.2811
Sm Lu Pt
2 1 1
Cartesian
0.0000 0.0000 1.6764 Sm
0.0000 0.0000 6.6047 Sm
1.8233 1.8233 4.1406 Lu
1.8233 1.8233 0.0000 Pt
```

Properties
Total magnetic moment ... 0.00 μB per formula unit
Relative energy among the computed polymorphs ... 0.000 eV/atom
VASP energy ... -0.40439 Ry per atom
Calculated formation energy ... -0.5020 eV/atom

(13)
First-principles (PBE-GGA) data for a geometry-optimized BaY4Te6 structure, as listed in the Alexandria database.

The structure in POSCAR format:
```
BaY4Te6
1.0
2.2243 -7.2184 0.0000
2.2243 7.2184 0.0000
0.0000 0.0000 22.8459
Ba Y Te
2 8 12
Cartesian
2.2243 4.9140 17.1344 Ba
2.2243 -4.9140 5.7115 Ba
2.2243 5.8815 2.8496 Y
2.2243 5.8815 8.5733 Y
2.2243 2.0300 0.8371 Y
2.2243 2.0300 10.5859 Y
2.2243 -2.0300 12.2600 Y
2.2243 -2.0300 22.0088 Y
2.2243 -5.8815 14.2726 Y
2.2243 -5.8815 19.9962 Y
0.0000 0.0000 0.0000 Te
0.0000 0.0000 11.4229 Te
2.2243 4.9179 5.7115 Te
2.2243 3.3626 13.4309 Te
2.2243 3.3626 20.8379 Te
2.2243 0.6415 3.5748 Te
2.2243 0.6415 7.8481 Te
2.2243 -0.6415 14.9978 Te
2.2243 -0.6415 19.2710 Te
2.2243 -3.3626 2.0079 Te
2.2243 -3.3626 9.4150 Te
2.2243 -4.9179 17.1344 Te
```

Properties
Total magnetic moment ... 0.00 μB per formula unit
E_form (uncorrected) ... -1.465 eV/atom
VASP energy ... -0.41920 Ry per atom

(14)
First-principles (PBE-GGA) data for a geometry-optimized MgRuO4 structure, as listed in the Alexandria database.

The structure in POSCAR format:
```
MgRuO4
1.0
5.6245 0.0000 0.0000
0.0000 4.6754 0.0000
-2.1944 0.0000 5.0783
Mg Ru O
2 2 8
Cartesian
0.0000 0.0000 0.0000 Mg
-1.0972 2.3377 2.5391 Mg
1.7151 0.0000 2.5391 Ru
2.8123 2.3377 0.0000 Ru
0.2000 0.8786 1.8918 O
-0.8972 1.4591 4.4309 O
0.5418 3.3489 3.3903 O
1.6389 3.6642 0.8511 O
1.7912 1.0112 4.2272 O
2.8884 1.3265 1.6880 O
4.3273 3.2163 0.6474 O
3.2301 3.7968 3.1865 O
```

Properties
Total magnetic moment ... 1.32 μB per formula unit
E_form (uncorrected) ... -1.383 eV/atom
VASP energy ... -0.47776 Ry per atom

(15)
First-principles (PBE-GGA) data for a geometry-optimized LiPmNdCo structure, as listed in the Alexandria database.

The structure in POSCAR format:
```
LiPmNdCo
1.0
0.0000 3.5465 3.5465
3.5465 0.0000 3.5465
3.5465 3.5465 0.0000
Li Pm Nd Co
1 1 1 1
Cartesian
0.0000 0.0000 0.0000 Li
1.7732 1.7732 1.7732 Pm
5.3197 5.3197 5.3197 Nd
3.5465 3.5465 3.5465 Co
```

Properties
Total magnetic moment ... 0.00 μB per formula unit
VASP energy ... -0.33808 Ry per atom
Calculated formation energy ... 0.0347 eV/atom

(16)
First-principles (PBE-GGA) data for a geometry-optimized TbTmGa structure, as listed in the Alexandria database.

The structure in POSCAR format:
```
TbTmGa
1.0
8.1453 -1.8202 0.0000
8.1453 1.8202 0.0000
-0.0057 0.0000 5.1525
Tb Tm Ga
2 2 2
Cartesian
1.2624 0.0000 1.2823 Tb
15.0225 0.0000 3.8702 Tb
3.6371 0.0000 3.8631 Tm
12.6478 0.0000 1.2894 Tm
6.8659 0.0000 1.2976 Ga
9.4190 0.0000 3.8549 Ga
```

Properties
Total magnetic moment ... 0.00 μB per formula unit
Relative energy among the computed polymorphs ... 0.000 eV/atom
VASP energy ... -0.32628 Ry per atom
Calculated formation energy ... -0.3964 eV/atom

(17)
First-principles (PBE-GGA) data for a geometry-optimized Ti4GaNi3 structure, as listed in the Alexandria database.

The structure in POSCAR format:
```
Ti4GaNi3
1.0
2.1516 1.2422 7.0798
-2.1516 1.2422 7.0798
0.0000 -2.4844 7.0798
Ti Ga Ni
4 1 3
Cartesian
0.0000 0.0000 2.4921 Ti
0.0000 0.0000 7.8629 Ti
0.0000 0.0000 13.3764 Ti
0.0000 0.0000 18.7473 Ti
0.0000 0.0000 10.6197 Ga
0.0000 0.0000 0.0000 Ni
0.0000 0.0000 5.0421 Ni
0.0000 0.0000 16.1973 Ni
```

Properties
Total magnetic moment ... 0.00 μB per formula unit
VASP energy ... -0.50488 Ry per atom
Calculated formation energy ... -0.3755 eV/atom

(18)
First-principles (PBE-GGA) data for a geometry-optimized Y3Ho2ThTe6 structure, as listed in the Alexandria database.

The structure in POSCAR format:
```
Y3Ho2ThTe6
1.0
9.4355 -2.1417 0.0000
9.4355 2.1417 0.0000
-1.4979 0.0000 8.8119
Y Ho Th Te
3 2 1 6
Cartesian
0.0000 0.0000 0.0000 Y
5.5680 0.0000 5.7442 Y
11.8051 0.0000 3.0677 Y
6.0767 0.0000 1.3799 Ho
11.2965 0.0000 7.4319 Ho
-0.7489 0.0000 4.4059 Th
3.0272 0.0000 0.8434 Te
2.4075 0.0000 5.3069 Te
8.9627 0.0000 2.0919 Te
8.4104 0.0000 6.7200 Te
14.9656 0.0000 3.5050 Te
14.3460 0.0000 7.9685 Te
```

Properties
Total magnetic moment ... 0.00 μB per formula unit
E_form (uncorrected) ... -1.229 eV/atom
VASP energy ... -0.42609 Ry per atom

(19)
First-principles (PBE-GGA) data for a geometry-optimized SrPa5As6 structure, as listed in the Alexandria database.

The structure in POSCAR format:
```
SrPa5As6
1.0
3.5824 -6.2060 0.0000
3.5824 6.2060 0.0000
-2.3929 0.0000 6.7597
Sr Pa As
1 5 6
Cartesian
0.0000 0.0000 0.0000 Sr
2.3859 4.1985 3.3798 Pa
3.5824 2.0809 0.0000 Pa
2.3859 0.0000 3.3798 Pa
3.5824 -2.0809 0.0000 Pa
2.3859 -4.1985 3.3798 Pa
1.2290 2.1252 1.7375 As
0.0658 0.0000 5.0583 As
1.2290 -2.1252 1.7375 As
3.5428 2.1252 5.0222 As
4.7059 0.0000 1.7014 As
3.5428 -2.1252 5.0222 As
```

Properties
Total magnetic moment ... 0.00 μB per formula unit
VASP energy ... -0.54901 Ry per atom
Calculated formation energy ... -1.0481 eV/atom

(20)
First-principles (PBE-GGA) data for a geometry-optimized Sc2SnOF structure, as listed in the Alexandria database.

The structure in POSCAR format:
```
Sc2SnOF
1.0
5.4689 0.0000 0.0000
0.0000 5.4689 0.0000
0.0000 0.0000 4.2617
Sc Sn O F
2 1 1 1
Cartesian
0.0000 2.7344 0.0000 Sc
2.7344 0.0000 0.0000 Sc
0.0000 0.0000 0.0000 Sn
0.0000 0.0000 2.1308 O
2.7344 2.7344 2.1308 F
```

Properties
Total magnetic moment ... 0.51 μB per formula unit
E_form (uncorrected) ... -0.275 eV/atom
VASP energy ... -0.36560 Ry per atom

(21)
First-principles (PBE-GGA) data for a geometry-optimized NbCr3 structure, as listed in the Alexandria database.

The structure in POSCAR format:
```
NbCr3
1.0
3.8085 0.0000 0.0000
0.0000 3.8085 0.0000
0.0000 0.0000 3.8085
Nb Cr
1 3
Cartesian
0.0000 0.0000 0.0000 Nb
0.0000 1.9042 1.9042 Cr
1.9042 0.0000 1.9042 Cr
1.9042 1.9042 0.0000 Cr
```

Properties
Total magnetic moment ... 2.31 μB per formula unit
VASP energy ... -0.67973 Ry per atom
Calculated formation energy ... 0.4868 eV/atom

(22)
First-principles (PBE-GGA) data for a geometry-optimized MnBHCl2 structure, as listed in the Alexandria database.

The structure in POSCAR format:
```
MnBHCl2
1.0
4.6182 0.0000 0.0000
0.0000 4.6182 0.0000
0.0000 0.0000 4.2596
Mn B H Cl
1 1 1 2
Cartesian
0.0000 0.0000 0.0000 Mn
0.0000 0.0000 2.1298 B
2.3091 2.3091 0.0000 H
0.0000 2.3091 2.1298 Cl
2.3091 0.0000 2.1298 Cl
```

Properties
Total magnetic moment ... 5.21 μB per formula unit
Relative energy among the computed polymorphs ... 0.320 eV/atom
VASP energy ... -0.27264 Ry per atom

(23)
First-principles (PBE-GGA) data for a geometry-optimized ReTeRu2 structure, as listed in the Alexandria database.

The structure in POSCAR format:
```
ReTeRu2
1.0
-2.0049 2.0049 3.8908
2.0049 -2.0049 3.8908
2.0049 2.0049 -3.8908
Re Te Ru
1 1 2
Cartesian
0.0000 0.0000 0.0000 Re
0.0000 0.0000 3.8908 Te
2.0049 0.0000 1.9454 Ru
0.0000 2.0049 1.9454 Ru
```

Properties
Total magnetic moment ... 0.00 μB per formula unit
E_form (uncorrected) ... 0.458 eV/atom
VASP energy ... -0.59367 Ry per atom